Below is a geometry-optimized DyAl2Fe2Si structure, with properties calculated at the PBE level.

Results
The calculation puts the formation energy from raw total energies at -280 meV/atom. The value obtained for the magnetization is 0.724 μB/cell. The calculation puts the density of states at the Fermi level at 0.841 states/eV per atom. As for the total energy: -36.11 eV/f.u.

```
data_DyAl2Fe2Si
_chemical_formula_sum 'Dy1 Al2 Fe2 Si1'
_cell_length_a 4.211
_cell_length_b 4.211
_cell_length_c 5.578
_cell_angle_alpha 90.00
_cell_angle_beta 90.00
_cell_angle_gamma 90.00
_space_group_name_H-M_alt 'P 1'
_space_group_IT_number 1
loop_
_space_group_symop_operation_xyz
'x,y,z'
loop_
_atom_site_label
_atom_site_fract_x
_atom_site_fract_y
_atom_site_fract_z
Si1 0.000 0.000 0.000
Dy1 0.000 0.000 0.500
Fe1 0.000 0.500 0.000
Fe2 0.500 0.000 0.000
Al1 0.500 0.500 0.256
Al2 0.500 0.500 0.744
```


Below is a geometry-optimized RbIrBrO2 structure, with properties calculated at the PBE level.

Results
The calculation puts the formation energy from raw total energies at 804 meV/atom. The value obtained for the magnetization is 1.245 μB/cell. The calculation puts the density of states at the Fermi level at 0.938 states/eV per atom. As for the total energy: -17.40 eV/f.u.

```
data_RbIrBrO2
_chemical_formula_sum 'Rb1 Ir1 Br1 O2'
_cell_length_a 4.540
_cell_length_b 4.540
_cell_length_c 4.571
_cell_angle_alpha 90.00
_cell_angle_beta 90.00
_cell_angle_gamma 90.00
_space_group_name_H-M_alt 'P 1'
_space_group_IT_number 1
loop_
_space_group_symop_operation_xyz
'x,y,z'
loop_
_atom_site_label
_atom_site_fract_x
_atom_site_fract_y
_atom_site_fract_z
Br1 0.000 0.000 0.000
Rb1 0.500 0.500 0.500
O1 0.000 0.500 0.000
O2 0.500 0.000 0.000
Ir1 0.000 0.000 0.500
```


Below is a geometry-optimized Rb3Zn2Hg4 structure, with properties calculated at the PBE level.

Results
The value obtained for the magnetization is 0.000 μB/cell. The calculation puts the density of states at the Fermi level at 0.588 states/eV per atom. As for the total energy: -7.72 eV/f.u. Its calculated formation energy is -117.7 meV/atom.

```
data_Rb3Zn2Hg4
_chemical_formula_sum 'Rb3 Zn2 Hg4'
_cell_length_a 5.117
_cell_length_b 7.060
_cell_length_c 9.934
_cell_angle_alpha 101.00
_cell_angle_beta 90.00
_cell_angle_gamma 111.25
_space_group_name_H-M_alt 'P 1'
_space_group_IT_number 1
loop_
_space_group_symop_operation_xyz
'x,y,z'
loop_
_atom_site_label
_atom_site_fract_x
_atom_site_fract_y
_atom_site_fract_z
Rb1 0.337 0.674 0.332
Rb2 0.663 0.326 0.668
Rb3 0.000 0.000 0.000
Hg1 0.714 0.427 0.067
Hg2 0.286 0.573 0.933
Hg3 0.065 0.130 0.384
Hg4 0.935 0.870 0.616
Zn1 0.609 0.218 0.290
Zn2 0.391 0.782 0.710
```